Dy5Y3Tl2 (PBE, optimized geometry); DFT formation energy = 0.122 eV/atom; theoretical density = 7.76 Mg/m³
1.0
-6.429 7.687 3.220
6.429 -7.687 3.220
6.429 7.687 -3.220
Dy Y Tl
10 6 4
Direct
0.165 0.115 0.280 Dy
0.250 0.002 0.752 Dy
0.250 0.250 0.000 Dy
0.250 0.498 0.248 Dy
0.335 0.615 0.950 Dy
0.665 0.385 0.050 Dy
0.750 0.502 0.752 Dy
0.750 0.750 0.000 Dy
0.750 0.998 0.248 Dy
0.835 0.885 0.720 Dy
0.226 0.381 0.608 Y
0.250 0.750 0.500 Y
0.274 0.881 0.155 Y
0.726 0.119 0.845 Y
0.750 0.250 0.500 Y
0.774 0.619 0.392 Y
0.145 0.631 0.776 Tl
0.355 0.131 0.487 Tl
0.645 0.869 0.513 Tl
0.855 0.369 0.224 Tl

---

ThInCuPt (PBE, optimized geometry); DFT formation energy = -0.598 eV/atom; theoretical density = 12.03 Mg/m³
1.0
0.000 3.470 3.470
3.470 0.000 3.470
3.470 3.470 0.000
Th In Cu Pt
1 1 1 1
Direct
0.000 0.000 0.000 Th
0.500 0.500 0.500 In
0.750 0.750 0.750 Cu
0.250 0.250 0.250 Pt

---

CaY2Ir (PBE, optimized geometry); ΔE to the lowest computed polymorph = 209 meV per atom; DFT formation energy = -0.194 eV/atom; theoretical density = 5.55 Mg/m³
1.0
-4.402 4.402 3.166
4.402 -4.402 3.166
4.402 4.402 -3.166
Ca Y Ir
2 4 2
Direct
0.000 0.000 0.000 Ca
0.750 0.250 0.500 Ca
0.217 0.625 0.092 Y
0.375 0.467 0.592 Y
0.533 0.125 0.908 Y
0.875 0.783 0.408 Y
0.250 0.750 0.500 Ir
0.500 0.500 0.000 Ir

---

NaBeP2O (PBE, optimized geometry); ΔE to the lowest computed polymorph = 0 meV per atom; formation energy (no corrections) = -0.22 eV per atom; theoretical density = 2.22 Mg/m³
1.0
5.402 0.000 0.000
0.000 5.402 0.000
0.000 0.000 2.817
Na Be P O
1 1 2 1
Direct
0.000 0.000 0.000 Na
0.500 0.500 0.500 Be
0.000 0.500 0.500 P
0.500 0.000 0.500 P
0.500 0.500 0.000 O

---

NdPuThSc (PBE, optimized geometry); DFT formation energy = 0.191 eV/atom; theoretical density = 9.38 Mg/m³
1.0
0.000 3.890 3.890
3.890 0.000 3.890
3.890 3.890 0.000
Nd Pu Th Sc
1 1 1 1
Direct
0.000 0.000 0.000 Nd
0.250 0.250 0.250 Pu
0.500 0.500 0.500 Th
0.750 0.750 0.750 Sc

---

PmSmBiAu (PBE, optimized geometry); DFT formation energy = -0.688 eV/atom; theoretical density = 10.52 Mg/m³
1.0
0.000 3.811 3.811
3.811 0.000 3.811
3.811 3.811 0.000
Pm Sm Bi Au
1 1 1 1
Direct
0.000 0.000 0.000 Pm
0.500 0.500 0.500 Sm
0.250 0.250 0.250 Bi
0.750 0.750 0.750 Au

---

TaPBr2 (PBE, optimized geometry); ΔE to the lowest computed polymorph = 1410 meV per atom; formation energy (no corrections) = 0.99 eV per atom; theoretical density = 7.78 Mg/m³
1.0
2.968 -4.316 0.000
2.968 4.316 0.000
0.000 0.000 3.095
Ta P Br
1 1 2
Direct
0.000 0.000 0.000 Ta
0.500 0.500 0.000 P
0.000 0.500 0.500 Br
0.500 0.000 0.500 Br

---

InSeBr2F (PBE, optimized geometry); ΔE to the lowest computed polymorph = 0 meV per atom; formation energy (no corrections) = -0.20 eV per atom; theoretical density = 4.43 Mg/m³
1.0
5.952 0.000 0.000
0.000 5.952 0.000
0.000 0.000 3.938
In Se Br F
1 1 2 1
Direct
0.000 0.000 0.000 In
0.500 0.500 0.000 Se
0.000 0.500 0.500 Br
0.500 0.000 0.500 Br
0.500 0.500 0.500 F

---

CaRh2Au (PBE, optimized geometry); DFT formation energy = -0.104 eV/atom; theoretical density = 9.87 Mg/m³
1.0
3.289 0.000 0.000
0.000 3.289 0.000
0.000 0.000 6.893
Ca Rh Au
1 2 1
Direct
0.000 0.000 0.000 Ca
0.000 0.000 0.464 Rh
0.500 0.500 0.287 Rh
0.500 0.500 0.704 Au

---

InBr2O6 (PBE, optimized geometry); formation energy (no corrections) = -0.04 eV per atom; theoretical density = 3.89 Mg/m³
1.0
2.705 1.562 6.248
-2.705 1.562 6.248
0.000 -3.124 6.248
In Br O
1 2 6
Direct
0.000 0.000 0.000 In
0.221 0.221 0.221 Br
0.451 0.451 0.451 Br
0.150 0.370 0.729 O
0.234 0.976 0.560 O
0.370 0.729 0.150 O
0.560 0.234 0.976 O
0.729 0.150 0.370 O
0.976 0.560 0.234 O

---

theoretical density of number 5 (NdPuThSc)? 9.38 Mg/m³